Density functional theory data (PBE) for crystalline PmCuTe at its relaxed geometry.

Unit cell a=4.3990 b=4.3559 c=4.3559 alpha=120.00 beta=90.00 gamma=90.00
Closest atoms and distances in Å follow each position.
Element x y z (fractional)
Cu 0.2919 0.6667 0.3333  3 Te 2.66, 3 Pm 2.89
Te 0.0925 0.0000 0.0000  3 Cu 2.66
Pm 0.6156 0.3333 0.6667  3 Cu 2.89

Values from the calculation:
The crystal system is trigonal. As for the space group: No. 156. For the formation energy without anion corrections, the calculation gives -16.9 kcal/mol of atoms. As for the energy: -14.2 eV for the cell shown. The density comes out at 7.7 g/cm³. As for the density of states at the Fermi level: 0.25 states/eV/cell. The value obtained for the energy above the most stable polymorph in this dataset is 0 meV/atom.

=====

Density functional theory data (PBE) for crystalline Pm5Cu2Te at its relaxed geometry.

Unit cell a=8.1975 b=8.1975 c=8.6934 alpha=118.13 beta=118.13 gamma=90.00
Closest atoms and distances in Å follow each position.
Element x y z (fractional)
Pm 0.2057 0.0116 0.7173  3 Cu 2.98-3.08
Pm 0.9884 0.4884 0.2827  3 Cu 2.98-3.08
Pm 0.4884 0.2943 0.2827  3 Cu 2.98-3.08
Pm 0.2943 0.7943 0.2827  3 Cu 2.98-3.08
Pm 0.0116 0.5116 0.7173  3 Cu 2.98-3.08
Pm 0.5116 0.7057 0.7173  3 Cu 2.98-3.08
Pm 0.5000 0.5000 0.0000  4 Cu 3.20, 2 Te 3.24
Pm 0.7943 0.9884 0.2827  3 Cu 2.98-3.08
Pm 0.0000 0.0000 0.0000  4 Cu 3.20, 2 Te 3.24
Pm 0.7057 0.2057 0.7173  3 Cu 2.98-3.08
Cu 0.3668 0.8668 0.0000  8 Pm 2.98-3.20, 1 Cu 3.09
Cu 0.6332 0.1332 0.0000  8 Pm 2.98-3.20, 1 Cu 3.09
Cu 0.8668 0.6332 0.0000  8 Pm 2.98-3.20, 1 Cu 3.09
Cu 0.1332 0.3668 0.0000  8 Pm 2.98-3.20, 1 Cu 3.09
Te 0.2500 0.2500 0.5000  10 Pm 3.24-3.41
Te 0.7500 0.7500 0.5000  10 Pm 3.24-3.41

Values from the calculation:
The crystal system is tetragonal. As for the space group: No. 140. For the formation energy without anion corrections, the calculation gives -9.7 kcal/mol of atoms. As for the energy: -76.9 eV for the cell shown. The density comes out at 7.5 g/cm³. As for the density of states at the Fermi level: 16.99 states/eV/cell.

=====

Density functional theory data (PBE) for crystalline PmCuTe2 at its relaxed geometry.

Unit cell a=4.6563 b=4.6563 c=8.6602 alpha=74.41 beta=74.41 gamma=60.00
Closest atoms and distances in Å follow each position.
Element x y z (fractional)
Te 0.0987 0.0987 0.7040  1 Cu 2.44
Te 0.9013 0.9013 0.2960  1 Cu 2.44
Pm 0.5000 0.5000 0.5000  6 Te 3.17
Cu 0.0000 0.0000 0.0000  2 Te 2.44

Values from the calculation:
The crystal system is trigonal. As for the space group: No. 166. For the formation energy without anion corrections, the calculation gives -17.3 kcal/mol of atoms. As for the energy: -18.1 eV for the cell shown. The density comes out at 5.0 g/cm³.

=====

Density functional theory data (PBE) for crystalline PmCuTe at its relaxed geometry.

Unit cell a=4.0329 b=4.0329 c=5.4188 alpha=111.85 beta=111.85 gamma=90.00
Closest atoms and distances in Å follow each position.
Element x y z (fractional)
Te 0.2896 0.2896 0.5792  5 Cu 2.98-3.28, 5 Pm 3.15-3.20
Pm 0.9473 0.9473 0.8946  5 Cu 3.08-3.23, 5 Te 3.15-3.20
Cu 0.6131 0.6131 0.2261  5 Te 2.98-3.28, 5 Pm 3.08-3.23

Values from the calculation:
The crystal system is tetragonal. As for the space group: No. 107. For the formation energy without anion corrections, the calculation gives -11.9 kcal/mol of atoms. As for the energy: -13.5 eV for the cell shown. The density comes out at 7.4 g/cm³. As for the density of states at the Fermi level: 0.67 states/eV/cell. The value obtained for the energy above the most stable polymorph in this dataset is 216 meV/atom.

=====

Density functional theory data (PBE) for crystalline Pm6CuTe5 at its relaxed geometry.

Unit cell a=7.6695 b=7.6695 c=7.6685 alpha=99.67 beta=99.67 gamma=119.82
Closest atoms and distances in Å follow each position.
Element x y z (fractional)
Pm 0.3869 0.0761 0.2325  1 Cu 2.91, 5 Te 3.14-3.25
Pm 0.2294 0.2294 0.7573  1 Cu 2.96, 5 Te 3.15-3.31
Pm 0.7706 0.7706 0.2427  1 Cu 2.96, 5 Te 3.15-3.31
Pm 0.9239 0.6131 0.7675  1 Cu 2.91, 5 Te 3.14-3.25
Pm 0.0761 0.3869 0.2325  1 Cu 2.91, 5 Te 3.14-3.25
Pm 0.6131 0.9239 0.7675  1 Cu 2.91, 5 Te 3.14-3.25
Cu 0.0000 0.0000 0.0000  6 Pm 2.91-2.96
Te 0.5000 0.5000 0.5000  6 Pm 3.14-3.31
Te 0.1777 0.8223 0.5000  6 Pm 3.15-3.25
Te 0.6639 0.3361 0.0000  6 Pm 3.15-3.16
Te 0.3361 0.6639 0.0000  6 Pm 3.15-3.16
Te 0.8223 0.1777 0.5000  6 Pm 3.15-3.25

Values from the calculation:
The crystal system is monoclinic. As for the space group: No. 12. For the formation energy without anion corrections, the calculation gives -28.1 kcal/mol of atoms. As for the energy: -63.0 eV for the cell shown. The density comes out at 7.1 g/cm³. As for the density of states at the Fermi level: 5.14 states/eV/cell.

=====

Density functional theory data (PBE) for crystalline PmCuTe at its relaxed geometry.

Unit cell a=6.6613 b=4.1595 c=5.7771 alpha=90.00 beta=90.00 gamma=89.99
Closest atoms and distances in Å follow each position.
Element x y z (fractional)
Pm 0.0930 0.7529 0.6242  3 Cu 3.00-3.02, 4 Te 3.14-3.22
Pm 0.5930 0.2529 0.3718  3 Cu 3.00-3.02, 4 Te 3.14-3.22
Te 0.7900 0.2529 0.8653  3 Cu 2.79-2.80
Te 0.2901 0.7528 0.1307  3 Cu 2.79-2.80
Cu 0.3716 0.2526 0.8232  3 Te 2.79-2.80, 3 Pm 3.00-3.02
Cu 0.8717 0.7528 0.1729  3 Te 2.79-2.80, 3 Pm 3.00-3.02

Values from the calculation:
The crystal system is orthorhombic. As for the space group: No. 31. For the formation energy without anion corrections, the calculation gives -14.5 kcal/mol of atoms. As for the energy: -27.7 eV for the cell shown. The density comes out at 7.0 g/cm³. As for the density of states at the Fermi level: 1.23 states/eV/cell. The value obtained for the energy above the most stable polymorph in this dataset is 107 meV/atom.

=====

Density functional theory data (PBE) for crystalline PmCu3Te3 at its relaxed geometry.

Unit cell a=7.5111 b=7.5111 c=8.3175 alpha=63.16 beta=63.16 gamma=60.00
Closest atoms and distances in Å follow each position.
Element x y z (fractional)
Te 0.0791 0.7740 0.7469  4 Cu 2.59-2.74
Te 0.2260 0.6000 0.2531  4 Cu 2.59-2.74
Te 0.7740 0.4000 0.7469  4 Cu 2.59-2.74
Te 0.6000 0.9209 0.2531  4 Cu 2.59-2.74
Te 0.9209 0.2260 0.2531  4 Cu 2.59-2.74
Te 0.4000 0.0791 0.7469  4 Cu 2.59-2.74
Cu 0.8600 0.5223 0.3721  4 Te 2.59-2.74
Cu 0.1400 0.4777 0.6279  4 Te 2.59-2.74
Cu 0.7544 0.1400 0.6279  4 Te 2.59-2.74
Cu 0.5223 0.2456 0.3721  4 Te 2.59-2.74
Cu 0.4777 0.7544 0.6279  4 Te 2.59-2.74
Cu 0.2456 0.8600 0.3721  4 Te 2.59-2.74
Pm 0.3359 0.3359 0.9924  6 Te 3.14-3.15, 3 Cu 3.47
Pm 0.6641 0.6641 0.0076  6 Te 3.14-3.15, 3 Cu 3.47

Values from the calculation:
The crystal system is trigonal. As for the space group: No. 148. For the formation energy without anion corrections, the calculation gives -12.1 kcal/mol of atoms. As for the energy: -60.3 eV for the cell shown. The density comes out at 6.9 g/cm³.

=====

Density functional theory data (PBE) for crystalline Pm2CuTe at its relaxed geometry.

Unit cell a=5.2648 b=5.2648 c=5.2648 alpha=60.00 beta=60.00 gamma=60.00
Closest atoms and distances in Å follow each position.
Element x y z (fractional)
Pm 0.2500 0.2500 0.2500  4 Cu 3.22, 4 Te 3.22
Pm 0.7500 0.7500 0.7500  4 Te 3.22, 4 Cu 3.22
Te 0.0000 0.0000 0.0000  8 Pm 3.22
Cu 0.5000 0.5000 0.5000  8 Pm 3.22

Values from the calculation:
The crystal system is cubic. As for the space group: No. 225. For the formation energy without anion corrections, the calculation gives -12.4 kcal/mol of atoms. As for the energy: -18.9 eV for the cell shown. The density comes out at 7.7 g/cm³. As for the density of states at the Fermi level: 5.43 states/eV/cell. The value obtained for the energy above the most stable polymorph in this dataset is 220 meV/atom.

=====

Density functional theory data (PBE) for crystalline Pm2UCuTe5 at its relaxed geometry.

Unit cell a=4.2746 b=9.7572 c=13.1226 alpha=90.00 beta=90.00 gamma=102.65
Closest atoms and distances in Å follow each position.
Element x y z (fractional)
Te 0.2870 0.5741 0.6753  2 U 3.08, 3 Pm 3.21-3.37
Te 0.3578 0.7156 0.0000  1 U 3.16, 4 Pm 3.29-3.34
Te 0.4996 0.9992 0.7867  1 Cu 2.62
Te 0.9581 0.9162 0.5652  2 Cu 2.62
Te 0.5004 0.0008 0.2867  1 Cu 2.62
Te 0.0419 0.0838 0.0652  2 Cu 2.62
Te 0.3141 0.6282 0.3397  1 Cu 2.67
Te 0.6422 0.2844 0.5000  1 U 3.16, 4 Pm 3.29-3.34
Te 0.7130 0.4259 0.1753  2 U 3.08, 3 Pm 3.21-3.37
Te 0.6859 0.3718 0.8397  1 Cu 2.67
U 0.1922 0.3844 0.0088  6 Te 2.96-3.16, 2 Cu 3.21
U 0.8078 0.6156 0.5088  6 Te 2.96-3.16, 2 Cu 3.21
Cu 0.5713 0.1426 0.9576  4 Te 2.62-2.67
Cu 0.4287 0.8574 0.4576  4 Te 2.62-2.67
Pm 0.8900 0.7801 0.1844  8 Te 3.28-3.37
Pm 0.1250 0.2500 0.3063  7 Te 3.20-3.54
Pm 0.1100 0.2199 0.6844  8 Te 3.28-3.37
Pm 0.8750 0.7500 0.8063  7 Te 3.20-3.54

Values from the calculation:
The crystal system is orthorhombic. As for the space group: No. 36. For the formation energy without anion corrections, the calculation gives -21.9 kcal/mol of atoms. As for the energy: -98.3 eV for the cell shown. The density comes out at 7.6 g/cm³. As for the density of states at the Fermi level: 15.03 states/eV/cell.

=====

Density functional theory data (PBE) for crystalline PmThCu3 at its relaxed geometry.

Unit cell a=4.3657 b=3.5598 c=13.6170 alpha=97.51 beta=90.00 gamma=90.00
Closest atoms and distances in Å follow each position.
Element x y z (fractional)
Cu 0.2500 0.3838 0.7677  3 Cu 2.51-2.57
Cu 0.7500 0.6162 0.2323  3 Cu 2.51-2.57
Cu 0.7500 0.5230 0.0461  3 Cu 2.51
Cu 0.2500 0.6667 0.3333  2 Cu 2.57
Cu 0.2500 0.4770 0.9539  3 Cu 2.51
Cu 0.7500 0.3333 0.6667  2 Cu 2.57
Th 0.2500 0.0703 0.1406  12 Cu 3.08-3.15
Th 0.7500 0.9297 0.8594  12 Cu 3.08-3.15
Pm 0.2500 0.7964 0.5927  6 Cu 2.96-2.99
Pm 0.7500 0.2036 0.4073  6 Cu 2.96-2.99

Values from the calculation:
The crystal system is orthorhombic. As for the space group: No. 63. As for the energy: -50.8 eV for the cell shown. The density comes out at 9.0 g/cm³. As for the density of states at the Fermi level: 6.83 states/eV/cell. Its formation energy is -0.187 eV/atom.

=====

Density functional theory data (PBE) for crystalline Pm3ThCu2 at its relaxed geometry.

Unit cell a=3.5965 b=3.5965 c=12.0586 alpha=90.00 beta=90.00 gamma=90.00
Closest atoms and distances in Å follow each position.
Element x y z (fractional)
Pm 0.0000 0.0000 0.7071  4 Cu 3.12
Pm 0.0000 0.0000 0.2929  4 Cu 3.12
Pm 0.0000 0.0000 0.0000  8 Cu 3.07
Cu 0.5000 0.5000 0.8569  8 Pm 3.07-3.12
Cu 0.5000 0.5000 0.1431  8 Pm 3.07-3.12
Th 0.5000 0.5000 0.5000  8 Pm 3.56, 4 Th 3.60

Values from the calculation:
The crystal system is tetragonal. As for the space group: No. 123. As for the energy: -30.4 eV for the cell shown. The density comes out at 8.5 g/cm³. As for the density of states at the Fermi level: 6.70 states/eV/cell. Its formation energy is -0.089 eV/atom.

=====

Density functional theory data (PBE) for crystalline Pm2ThCu6 at its relaxed geometry.

Unit cell a=3.6757 b=7.4457 c=7.4457 alpha=120.00 beta=90.00 gamma=90.00
Closest atoms and distances in Å follow each position.
Element x y z (fractional)
Cu 0.5000 0.3333 0.0000  3 Cu 2.48
Cu 0.5000 0.6667 0.0000  3 Cu 2.48
Cu 0.5000 0.3333 0.3333  3 Cu 2.48
Cu 0.5000 0.6667 0.6667  3 Cu 2.48
Cu 0.5000 0.0000 0.6667  3 Cu 2.48
Cu 0.5000 0.0000 0.3333  3 Cu 2.48
Pm 0.0000 0.6667 0.3333  12 Cu 3.09
Pm 0.0000 0.3333 0.6667  12 Cu 3.09
Th 0.0000 0.0000 0.0000  12 Cu 3.09

Values from the calculation:
The crystal system is hexagonal. As for the space group: No. 191. As for the energy: -43.4 eV for the cell shown. The density comes out at 8.5 g/cm³. As for the density of states at the Fermi level: 6.19 states/eV/cell. Its formation energy is -0.212 eV/atom.

=====

Among the records above, which one has the highest energy?
number 4

=====

Number 3 is which compound?
PmCuTe2